(1)
A plane-wave DFT calculation with PBE was carried out for Cd2CoCu after structural relaxation.

Cell and atoms, written as POSCAR:
```
Cd2CoCu
1.0
-4.396 -1.606 -0.562
-2.642 -3.599 -1.515
-0.465 -2.561 4.501
Co Cd Cu
1 2 1
direct
0.250 0.250 0.250
0.999 0.999 0.002
0.501 0.501 0.498
0.750 0.750 0.750
```

Values from the calculation:
The symmetry is C2/m (12). The value obtained for the energy relative to the elements is 0.3124 eV per atom.

***

(2)
A plane-wave DFT calculation with PBE was carried out for W2AuBr after structural relaxation.

Cell and atoms, written as POSCAR:
```
W2AuBr
1.0
4.685 0.000 0.000
0.000 3.927 0.000
0.000 0.000 3.927
Br W Au
1 2 1
direct
0.500 0.000 0.500
0.000 0.500 0.500
0.000 0.000 0.000
0.500 0.500 0.000
```

Values from the calculation:
The symmetry is P4/mmm (123). The value obtained for the energy relative to the elements, uncorrected is 1.4042 eV/atom.

***

(3)
A plane-wave DFT calculation with PBE was carried out for CaHg2TeO6 after structural relaxation.

Cell and atoms, written as POSCAR:
```
CaHg2TeO6
1.0
-5.108 0.465 2.586
-3.756 -4.337 -0.262
-1.053 -3.185 4.872
O Te Hg Ca
6 1 2 1
direct
0.652 0.098 0.819
0.201 0.980 0.284
0.980 0.535 0.284
0.431 0.652 0.819
0.535 0.202 0.284
0.098 0.431 0.819
0.316 0.316 0.051
0.062 0.062 0.813
0.570 0.570 0.290
0.816 0.816 0.552
```

Values from the calculation:
The symmetry is R-3 (148). The value obtained for the energy relative to the elements, uncorrected is -1.1887 eV/atom.

***

(4)
A plane-wave DFT calculation with PBE was carried out for LaPb2Br after structural relaxation.

Cell and atoms, written as POSCAR:
```
LaPb2Br
1.0
3.778 0.000 0.000
0.000 5.514 0.000
0.000 0.000 6.128
Br Pb La
1 2 1
direct
0.500 0.500 0.250
0.000 0.000 0.507
0.000 0.000 0.993
0.500 0.500 0.750
```

Values from the calculation:
The symmetry is Pmmm (47). The value obtained for the energy relative to the elements, uncorrected is -0.4910 eV/atom.

***

(5)
A plane-wave DFT calculation with PBE was carried out for Pa2SiPd after structural relaxation.

Cell and atoms, written as POSCAR:
```
Pa2SiPd
1.0
-2.065 -1.834 -2.523
2.990 -0.301 -2.228
1.427 -5.210 2.619
Pa Pd Si
2 1 1
direct
0.000 0.000 0.233
0.000 0.000 0.767
0.500 0.500 0.500
0.500 0.500 0.000
```

Values from the calculation:
The symmetry is P4/mmm (123). The value obtained for the energy relative to the elements, uncorrected is -0.3929 eV/atom.